Entry 1:
DFT (SCAN) results for a crystal of BaSeO2 relaxed with PBEsol.

Cell: 4.875 4.875 7.406 Å, 109.22 109.22 90.00°
Sites, in units of the cell vectors:
O 0.467 0.875 0.250
O 0.783 0.375 0.250
O 0.125 0.217 0.750
O 0.625 0.533 0.750
Ba 0.250 0.750 0.500
Ba 0.000 0.000 0.000
Se 0.750 0.250 0.500
Se 0.500 0.500 0.000

Results
Raw formation energy   -1.184 eV/atom
Symmetry   No. 122

=====

Entry 2:
DFT (SCAN) results for a crystal of HgTeSe relaxed with PBEsol.

Cell: 4.145 4.145 5.049 Å, 90.00 90.00 120.00°
Sites, in units of the cell vectors:
Te 0.667 0.333 0.321
Hg 0.000 0.000 0.987
Se 0.333 0.667 0.692

Results
Raw formation energy   0.069 eV/atom
Symmetry   No. 156

=====

Entry 3:
DFT (SCAN) results for a crystal of Ca2SiP relaxed with PBEsol.

Cell: 4.937 4.937 4.937 Å, 60.00 60.00 60.00°
Sites, in units of the cell vectors:
Ca 0.000 0.000 0.000
Ca 0.750 0.750 0.750
P 0.500 0.500 0.500
Si 0.250 0.250 0.250

Results
Raw formation energy   0.070 eV/atom
Symmetry   No. 216

=====

Entry 4:
DFT (SCAN) results for a crystal of Li3CoN2 relaxed with PBEsol.

Cell: 8.054 8.054 8.054 Å, 109.47 109.47 109.47°
Sites, in units of the cell vectors:
Li 0.484 0.743 0.964
Li 0.221 0.757 0.241
Li 0.279 0.520 0.536
Li 0.016 0.980 0.259
Li 0.464 0.484 0.243
Li 0.741 0.221 0.257
Li 0.036 0.279 0.020
Li 0.759 0.016 0.480
Li 0.743 0.464 0.984
Li 0.757 0.741 0.721
Li 0.520 0.036 0.779
Li 0.980 0.759 0.516
Li 0.516 0.257 0.036
Li 0.779 0.243 0.759
Li 0.721 0.480 0.464
Li 0.984 0.020 0.741
Li 0.536 0.516 0.757
Li 0.259 0.779 0.743
Li 0.964 0.721 0.980
Li 0.241 0.984 0.520
Li 0.257 0.536 0.016
Li 0.243 0.259 0.279
Li 0.480 0.964 0.221
Li 0.020 0.241 0.484
Co 0.775 0.000 0.000
Co 0.000 0.500 0.275
Co 0.500 0.775 0.500
Co 0.725 0.725 0.225
Co 0.225 0.000 0.000
Co 0.000 0.500 0.725
Co 0.500 0.225 0.500
Co 0.275 0.275 0.775
N 0.000 0.000 0.000
N 0.000 0.500 0.500
N 0.500 0.000 0.500
N 0.500 0.500 0.000
N 0.784 0.250 0.034
N 0.716 0.750 0.466
N 0.534 0.784 0.750
N 0.966 0.716 0.250
N 0.250 0.534 0.284
N 0.750 0.966 0.216
N 0.216 0.750 0.966
N 0.284 0.250 0.534
N 0.466 0.216 0.250
N 0.034 0.284 0.750
N 0.750 0.466 0.716
N 0.250 0.034 0.784

Results
Raw formation energy   -0.365 eV/atom
Symmetry   No. 206

=====

Entry 5:
DFT (SCAN) results for a crystal of Mn2CoBr relaxed with PBEsol.

Cell: 2.972 3.049 6.942 Å, 89.91 90.00 90.00°
Site moments in Bohr magnetons follow the coordinates.
Sites, in units of the cell vectors:
Br 0.500 0.000 0.500  0.03
Co 0.500 0.500 0.000  1.60
Mn 0.000 0.001 0.806  3.81
Mn 0.000 0.999 0.194  3.81

Results
Raw formation energy   -0.066 eV/atom
Symmetry   No. 10

=====

Entry 6:
DFT (SCAN) results for a crystal of RbInF2 relaxed with PBEsol.

Cell: 6.076 6.076 7.244 Å, 114.80 114.80 90.00°
Sites, in units of the cell vectors:
F 0.349 0.875 0.250
F 0.901 0.375 0.250
F 0.125 0.099 0.750
F 0.625 0.651 0.750
Rb 0.750 0.250 0.500
Rb 0.500 0.500 0.000
In 0.250 0.750 0.500
In 0.000 0.000 0.000

Results
Raw formation energy   -2.126 eV/atom
Symmetry   No. 122

=====

Entry 7:
DFT (SCAN) results for a crystal of Tb2Cr2C3 relaxed with PBEsol.

Cell: 3.372 5.395 5.538 Å, 104.88 90.00 108.21°
Site moments in Bohr magnetons follow the coordinates.
Sites, in units of the cell vectors:
Cr 0.158 0.316 0.891  0.60
Cr 0.842 0.684 0.109  0.60
C 0.712 0.424 0.773  -0.05
C 0.288 0.576 0.227  -0.05
C 0.000 0.000 0.000  -0.06
Tb 0.396 0.792 0.683  0.00
Tb 0.604 0.208 0.317  0.00

Results
Energy relative to the elements   -0.3748 eV/atom
Symmetry   No. 12

=====

Entry 8:
DFT (SCAN) results for a crystal of K3NaS relaxed with PBEsol.

Cell: 6.123 6.123 6.123 Å, 90.00 90.00 90.00°
Sites, in units of the cell vectors:
Na 0.500 0.500 0.500
K 0.000 0.500 0.000
K 0.000 0.000 0.500
K 0.500 0.000 0.000
S 0.000 0.000 0.000

Results
Raw formation energy   -0.656 eV/atom
Symmetry   No. 221

=====

no.,electronic total energy (eV/atom),total magnetic moment (μB per formula unit)
1,-19.207,0.00
2,-41.763,0.00
3,-9.866,0.00
4,-7.541,0.00
5,-18.385,9.41
6,-17.428,0.00
7,-23.317,1.05
8,-8.422,0.00